Computed, not measured: an optimized crystal structure of BaRhAu2 at the PBE level of DFT.

Computed properties:
As for the calculated total energy: -15.6 eV for the cell shown. The spin magnetization is 0.0 Bohr magnetons per cell. Its formation enthalpy at 0 K is 0.0611 eV per atom.

a = 5.045 Å, b = 5.045 Å, c = 5.045 Å
α = 60.00°, β = 60.00°, γ = 60.00°
Element x y z (fractional)
Ba1 0.000 0.000 0.000
Rh1 0.250 0.250 0.250
Au1 0.500 0.500 0.500
Au2 0.750 0.750 0.750